! BaTmTl2, optimized geometry, DFT PBE; values from VASP
! **Size of the total moment**: 0.00 μB/f.u.
! **DFT formation energy**: -0.198 eV per atom
! **E**: -2.979 eV per atom
! **Theoretical density**: 9.06 g cm⁻³
&SYSTEM
  ibrav = 0, nat = 4, ntyp = 3
/
ATOMIC_SPECIES
Tm 168.93 Tm.upf
Tl 204.38 Tl.upf
Ba 137.33 Ba.upf
CELL_PARAMETERS angstrom
-0.968 1.783 3.333
4.536 -2.463 2.636
3.309 4.528 -1.462
ATOMIC_POSITIONS crystal
Tm 0.500 0.500 0.500
Tl 0.000 0.000 0.500
Ba 0.500 0.000 0.000
Tl 0.000 0.500 0.000

! BaTm2Tl9, optimized geometry, DFT PBE; values from VASP
! **Size of the total moment**: 0.00 μB/f.u.
! **DFT formation energy**: -0.202 eV per atom
! **E**: -2.882 eV per atom
! **Theoretical density**: 11.05 g cm⁻³
&SYSTEM
  ibrav = 0, nat = 12, ntyp = 3
/
ATOMIC_SPECIES
Tm 168.93 Tm.upf
Ba 137.33 Ba.upf
Tl 204.38 Tl.upf
CELL_PARAMETERS angstrom
4.898 0.000 0.000
0.000 4.898 0.000
0.000 0.000 14.498
ATOMIC_POSITIONS crystal
Tm 0.000 0.000 0.652
Ba 0.000 0.000 0.000
Tl 0.000 0.500 0.183
Tm 0.000 0.000 0.348
Tl 0.000 0.500 0.500
Tl 0.500 0.500 0.000
Tl 0.000 0.500 0.817
Tl 0.500 0.000 0.183
Tl 0.500 0.500 0.664
Tl 0.500 0.000 0.817
Tl 0.500 0.500 0.336
Tl 0.500 0.000 0.500

! BaTm2Tl, optimized geometry, DFT PBE; values from VASP
! **Size of the total moment**: 0.24 μB/f.u.
! **DFT formation energy**: 0.158 eV per atom
! **E**: -3.150 eV per atom
! **Theoretical density**: 8.14 g cm⁻³
&SYSTEM
  ibrav = 0, nat = 4, ntyp = 3
/
ATOMIC_SPECIES
Tm 168.93 Tm.upf
Tl 204.38 Tl.upf
Ba 137.33 Ba.upf
CELL_PARAMETERS angstrom
3.651 0.000 0.000
1.826 3.162 0.000
1.826 1.054 12.010
ATOMIC_POSITIONS crystal
Tm 0.100 0.100 0.699
Tl 0.500 0.500 0.500
Ba 0.000 0.000 0.000
Tm 0.900 0.900 0.301

! BaTlV2, optimized geometry, DFT PBE; values from VASP
! **Size of the total moment**: 1.04 μB/f.u.
! **DFT formation energy**: 0.872 eV per atom
! **E**: -4.760 eV per atom
! **Theoretical density**: 6.45 g cm⁻³
&SYSTEM
  ibrav = 0, nat = 8, ntyp = 3
/
ATOMIC_SPECIES
V 50.94 V.upf
Ba 137.33 Ba.upf
Tl 204.38 Tl.upf
CELL_PARAMETERS angstrom
-1.081 -3.856 2.533
2.697 1.582 3.560
-7.235 3.707 6.986
ATOMIC_POSITIONS crystal
V 0.875 0.125 0.250
V 0.875 0.125 0.750
Ba 0.500 0.500 0.000
Tl 0.000 0.000 0.000
V 0.375 0.125 0.750
Ba 0.250 0.750 0.500
Tl 0.750 0.250 0.500
V 0.875 0.625 0.250